(1)
An optimized crystal structure of AgBC, computed with PBE.

Computed properties:
magnetic moment: 0.000 μB per atom
DOS(E_F): 0.89 states/eV/cell
polymorph energy (0 for the lowest one): 0.301 eV/atom
DFT total energy: -5.560 eV/atom
formation energy: 0.691 eV per atom
crystal system: tetragonal

Cell: 2.831 2.831 7.880 Å, 90.00 90.00 90.00°
Fractional coordinates of all 6 atoms:
C: 0.000 0.500 0.388
C: 0.500 0.000 0.612
B: 0.000 0.000 0.500
B: 0.500 0.500 0.500
Ag: 0.000 0.500 0.861
Ag: 0.500 0.000 0.139

=====

(2)
An optimized crystal structure of AgBC, computed with PBE.

Computed properties:
magnetic moment: 0.000 μB per atom
DOS(E_F): 0.01 states/eV/cell
polymorph energy (0 for the lowest one): 0.155 eV/atom
DFT total energy: -5.706 eV/atom
formation energy: 0.545 eV per atom
crystal system: orthorhombic

Cell: 7.071 2.877 8.469 Å, 90.00 90.00 90.00°
Fractional coordinates of all 12 atoms:
C: 0.249 0.250 0.591
C: 0.251 0.750 0.091
C: 0.751 0.750 0.409
C: 0.749 0.250 0.909
B: 0.751 0.250 0.407
B: 0.749 0.750 0.907
B: 0.249 0.750 0.593
B: 0.251 0.250 0.093
Ag: 0.999 0.250 0.750
Ag: 0.501 0.750 0.250
Ag: 0.001 0.750 0.250
Ag: 0.499 0.250 0.750